Compound: LiZr2Hg
Source: the Alexandria database
Functional: GGA-PBEsol
Structure: relaxed

The structure in extended XYZ format:
```
4
Lattice="-0.1352 -0.7232 2.9143 2.1817 -1.6537 1.2409 6.0912 8.2081 3.8694" Properties=species:S:1:pos:R:3 pbc="T T T"
Hg 4.0689 2.9156 4.0123
Li 0.0000 0.0000 0.0000
Zr 2.0907 1.5515 2.0320
Zr 6.0470 4.2798 5.9926
```

Results
Final energy = -5.100 eV per atom
N(E_F) = 0.644 states/eV per atom
Energy relative to the elements = 0.078 eV per atom